# 1
Density functional theory data (PBE) for an optimized crystal structure of La2NiW.

abc: 5.1258 5.1258 3.5471
angles: 94.84 94.84 90.86
With the nearest neighbours (Å) after each atom.
Atoms (fractional coordinates):
La1 0.0000 0.5000 0.0000  4 W 2.99-3.24, 4 Ni 2.99-3.24
La2 0.5000 0.0000 0.0000  4 W 2.99-3.24, 4 Ni 2.99-3.24
Ni1 0.0000 0.0000 0.5000  8 La 2.99-3.24
W1 0.5000 0.5000 0.5000  8 La 2.99-3.24

Summary:
As for the space-group type: C2/m. The value obtained for the electronic total energy is -26.76 eV/f.u. For the energy of formation, the calculation gives 1.83 eV/f.u. The theoretical density comes out at 9.3 g/cm3. The crystal system is monoclinic.

# 2
Density functional theory data (PBE) for an optimized crystal structure of Tm2Th5Sc12.

abc: 9.8359 9.8359 9.2430
angles: 117.88 117.88 42.79
With the nearest neighbours (Å) after each atom.
Atoms (fractional coordinates):
Tm1 0.1999 0.8001 0.0000  2 Sc 2.78, 1 Tm 2.87
Tm2 0.8001 0.1999 0.0000  2 Sc 2.78, 1 Tm 2.87
Th1 0.1940 0.1940 0.1943  2 Tm 3.39, 8 Sc 3.41-3.50, 2 Th 3.59
Th2 0.3055 0.3055 0.8056  10 Sc 3.43-3.56, 2 Th 3.59, 2 Tm 3.76
Th3 0.5000 0.5000 0.5000  2 Sc 2.86
Th4 0.6945 0.6945 0.1944  10 Sc 3.43-3.56, 2 Th 3.59, 2 Tm 3.76
Th5 0.8060 0.8060 0.8057  2 Tm 3.39, 8 Sc 3.41-3.50, 2 Th 3.59
Sc1 0.0000 0.0000 0.3343  5 Sc 3.06-3.09, 2 Tm 3.41
Sc2 0.0000 0.0000 0.6657  5 Sc 3.06-3.09, 2 Tm 3.41
Sc3 0.1031 0.5857 0.5305  4 Sc 3.09-3.45, 2 Th 3.41-3.43
Sc4 0.1035 0.5856 0.1577  5 Sc 3.09-3.46, 2 Th 3.41-3.43
Sc5 0.4144 0.8965 0.8423  5 Sc 3.09-3.46, 2 Th 3.41-3.43
Sc6 0.4143 0.8969 0.4695  4 Sc 3.09-3.45, 2 Th 3.41-3.43
Sc7 0.5005 0.5005 0.1910  2 Tm 2.78, 1 Th 2.86
Sc8 0.4995 0.4995 0.8090  2 Tm 2.78, 1 Th 2.86
Sc9 0.5857 0.1031 0.5305  4 Sc 3.09-3.45, 2 Th 3.41-3.43
Sc10 0.5856 0.1035 0.1577  5 Sc 3.09-3.46, 2 Th 3.41-3.43
Sc11 0.8965 0.4144 0.8423  5 Sc 3.09-3.46, 2 Th 3.41-3.43
Sc12 0.8969 0.4143 0.4695  4 Sc 3.09-3.45, 2 Th 3.41-3.43

Summary:
As for the space-group type: C2/m. The value obtained for the electronic total energy is -118.02 eV/f.u. For the energy of formation, the calculation gives 4.00 eV/f.u. The theoretical density comes out at 6.4 g/cm3. The crystal system is monoclinic.

# 3
Density functional theory data (PBE) for an optimized crystal structure of Np4US7.

abc: 7.0238 7.0238 11.5303
angles: 92.11 92.11 32.78
With the nearest neighbours (Å) after each atom.
Atoms (fractional coordinates):
Np1 0.0000 0.0000 0.0000  6 S 2.68-2.83
Np2 0.2118 0.2118 0.4196  5 S 2.58-2.79
Np3 0.5051 0.5051 0.7149  6 S 2.60-2.73
Np4 0.7331 0.7331 0.1178  6 S 2.69-2.76
U1 0.2516 0.2516 0.8119  7 S 2.74-2.98
S1 0.1072 0.1072 0.6208  3 Np 2.67-2.76, 1 U 2.88
S2 0.1139 0.1139 0.2022  4 Np 2.74-2.79
S3 0.3394 0.3394 0.5926  2 Np 2.58-2.60, 1 U 2.83
S4 0.3584 0.3584 0.0428  4 Np 2.76-2.81, 1 U 2.98
S5 0.6258 0.6258 0.9103  4 Np 2.73-2.83, 2 U 2.87
S6 0.8154 0.8154 0.3337  3 Np 2.64-2.69
S7 0.8909 0.8909 0.8005  3 Np 2.68-2.72, 2 U 2.74

Summary:
As for the space-group type: Cm. The value obtained for the electronic total energy is -105.97 eV/f.u. The value obtained for the formation energy from raw total energies is -1.17 eV per atom. The theoretical density comes out at 7.6 g/cm3. The crystal system is monoclinic.

# 4
Density functional theory data (PBE) for an optimized crystal structure of SrCaIrAu2.

abc: 5.3577 5.3577 5.1911
angles: 90.00 90.00 90.00
With the nearest neighbours (Å) after each atom.
Atoms (fractional coordinates):
Sr1 0.0000 0.0000 0.0000  8 Au 3.73, 4 Ir 3.79
Ca1 0.5000 0.5000 0.5000  2 Ir 2.60, 4 Au 2.68
Ir1 0.5000 0.5000 0.0000  2 Ca 2.60
Au1 0.0000 0.5000 0.5000  2 Ca 2.68
Au2 0.5000 0.0000 0.5000  2 Ca 2.68

Summary:
As for the space-group type: P4/mmm. The value obtained for the electronic total energy is -17.51 eV/f.u. For the energy of formation, the calculation gives 1.59 eV/f.u. The theoretical density comes out at 8.0 g/cm3. The crystal system is tetragonal.